(1)
A plane-wave DFT calculation with PBE was carried out for an optimized crystal structure of Sc2RuPb.

Cell and atoms, written as extended XYZ:
```
4
Lattice="9.1454 0.0199 0.0118 8.5326 3.2913 0.0118 8.5326 1.5982 2.8772" Properties=species:S:1:pos:R:3 pbc="T T T"
Pb 6.5527 1.2273 0.7252
Sc 12.7287 2.3842 1.4087
Sc 0.3766 0.0705 0.0417
Ru 19.6580 3.6820 2.1756
```

Results
Space-group type: R-3m



(2)
A plane-wave DFT calculation with PBE was carried out for an optimized crystal structure of Sc2RuPb.

Cell and atoms, written as extended XYZ:
```
4
Lattice="-1.0244 0.0629 5.1349 2.3732 -1.6883 4.3519 2.3923 3.3447 2.8998" Properties=species:S:1:pos:R:3 pbc="T T T"
Sc 1.3903 -1.4282 9.2259
Sc 1.8290 0.6624 6.4542
Pb 2.8058 1.2895 9.2899
Ru 0.9353 0.4298 3.0966
```

Results
Space-group type: Immm



(3)
A plane-wave DFT calculation with PBE was carried out for an optimized crystal structure of ScRuPb.

Cell and atoms, written as extended XYZ:
```
3
Lattice="4.6502 0.0000 0.0000 -2.3251 4.0272 0.0000 0.0000 0.0000 3.2296" Properties=species:S:1:pos:R:3 pbc="T T T"
Ru 2.3251 1.3424 0.5481
Pb 0.0000 0.0000 0.5345
Sc 0.0000 2.6848 2.1470
```

Results
Space-group type: P3m1



(4)
A plane-wave DFT calculation with PBE was carried out for an optimized crystal structure of ScRuPb.

Cell and atoms, written as extended XYZ:
```
3
Lattice="-0.3914 -0.0363 3.2745 -2.3594 -1.2176 -1.9564 2.8805 -6.0273 0.2775" Properties=species:S:1:pos:R:3 pbc="T T T"
Pb 0.0736 -0.1541 0.0071
Ru -0.0414 -2.5351 1.6278
Sc 0.0975 -4.5921 -0.0393
```

Results
Space-group type: P3m1



(5)
A plane-wave DFT calculation with PBE was carried out for an optimized crystal structure of Sc5Ru4Pb.

Cell and atoms, written as extended XYZ:
```
10
Lattice="-1.9263 2.5856 0.4642 -2.0906 -1.8575 1.6706 8.3372 3.6162 14.4544" Properties=species:S:1:pos:R:3 pbc="T T T"
Ru 3.3842 1.4679 5.8673
Ru 1.8096 0.7849 3.1374
Ru 6.5276 2.8313 11.3170
Ru 4.9530 2.1484 8.5871
Pb 0.0000 0.0000 0.0000
Sc 0.6294 1.5082 5.6407
Sc -0.8998 0.8450 2.9894
Sc 2.1601 2.1722 8.2946
Sc 3.6909 2.8362 10.9485
Sc 5.2201 3.4995 13.5997
```

Results
Space-group type: P4/mmm



(6)
A plane-wave DFT calculation with PBE was carried out for an optimized crystal structure of ScRuPb.

Cell and atoms, written as extended XYZ:
```
3
Lattice="-3.9044 2.3350 -4.0421 -5.4352 -0.2498 -2.7261 -1.9393 2.0187 1.7088" Properties=species:S:1:pos:R:3 pbc="T T T"
Sc -7.0590 2.0647 -4.1557
Ru -4.3560 2.0404 -1.0595
Pb -9.2036 2.0840 -6.6124
```

Results
Space-group type: I4mm



(7)
A plane-wave DFT calculation with PBE was carried out for an optimized crystal structure of Sc4RuPb.

Cell and atoms, written as extended XYZ:
```
12
Lattice="-4.7061 0.1429 3.3427 3.2046 -6.5803 1.9626 3.9460 5.9793 2.4694" Properties=species:S:1:pos:R:3 pbc="T T T"
Pb 2.4950 1.3651 3.1175
Pb -0.0505 -1.8231 4.6573
Sc 3.8149 -4.5410 2.7451
Sc 0.4887 -4.3558 3.0207
Sc 3.4779 -1.3016 4.3454
Sc 1.2114 -1.0604 1.6840
Sc 1.2330 0.6024 6.0907
Sc 1.9558 3.8978 4.7541
Sc -1.0335 0.8436 3.4294
Sc -1.3705 4.0830 5.0297
Ru 2.0286 -6.5349 2.7987
Ru 0.4158 6.0769 4.9761
```

Results
Space-group type: C2/c



(8)
A plane-wave DFT calculation with PBE was carried out for an optimized crystal structure of ScRuPb4.

Cell and atoms, written as extended XYZ:
```
6
Lattice="0.0000 4.4017 4.4017 4.4017 0.0000 4.4017 4.4017 4.4017 0.0000" Properties=species:S:1:pos:R:3 pbc="T T T"
Pb 5.5014 5.5014 3.3020
Pb 5.5014 3.3020 5.5014
Pb 3.3020 3.3020 3.3020
Pb 3.3020 5.5014 5.5014
Sc 0.0000 0.0000 0.0000
Ru 6.6025 6.6025 6.6025
```

Results
Space-group type: F-43m



(9)
A plane-wave DFT calculation with PBE was carried out for an optimized crystal structure of TbScRuPb.

Cell and atoms, written as extended XYZ:
```
4
Lattice="-0.9085 -2.3850 -4.2942 -1.4363 -4.7841 0.0554 -4.6839 -1.2161 -1.2391" Properties=species:S:1:pos:R:3 pbc="T T T"
Pb -1.7572 -2.0963 -1.3695
Ru -5.2716 -6.2889 -4.1084
Tb 0.0000 0.0000 0.0000
Sc -3.5144 -4.1926 -2.7389
```

Results
Space-group type: F-43m



(10)
A plane-wave DFT calculation with PBE was carried out for an optimized crystal structure of TbScRuPb.

Cell and atoms, written as extended XYZ:
```
4
Lattice="-2.7646 -1.6443 -0.9327 1.2904 -0.4338 -3.0600 3.3118 -6.9166 2.3770" Properties=species:S:1:pos:R:3 pbc="T T T"
Sc 0.4932 -3.6085 -1.1133
Pb 0.3005 -0.6276 0.2157
Ru 1.8223 -3.8059 1.3079
Tb 1.8203 -6.3802 -0.1608
```

Results
Space-group type: P4mm



(11)
A plane-wave DFT calculation with PBE was carried out for an optimized crystal structure of ScTc2RuPb.

Cell and atoms, written as extended XYZ:
```
5
Lattice="-3.0138 -1.1761 -3.7953 3.3337 -3.2256 -1.6477 -2.0932 -3.5790 2.7712" Properties=species:S:1:pos:R:3 pbc="T T T"
Pb 0.0000 0.0000 0.0000
Sc -0.8866 -3.9903 -1.3359
Tc -1.0466 -1.7895 1.3856
Tc -1.5069 -0.5880 -1.8977
Ru 1.6669 -1.6128 -0.8238
```

Results
Space-group type: P4/mmm



(12)
A plane-wave DFT calculation with PBE was carried out for an optimized crystal structure of Sc2TlRuPb.

Cell and atoms, written as extended XYZ:
```
5
Lattice="-0.0776 -2.1949 4.9091 -0.2836 -4.5557 -2.0414 5.3688 -0.3101 -0.0538" Properties=species:S:1:pos:R:3 pbc="T T T"
Ru -0.1418 -2.2779 -1.0207
Pb 0.0000 0.0000 0.0000
Tl 2.5038 -3.5304 1.4070
Sc 2.6844 -0.1551 -0.0269
Sc -0.0388 -1.0975 2.4546
```

Results
Space-group type: P4/mmm



So what do the calculations give for raw total energy? Going down the list: -0.4933 -0.4966 -0.4798 -0.4726 -0.5727 -0.4854 -0.4990 -0.3192 -0.4598 -0.4763 -0.4512 -0.3539 Ry per atom.
So what do the calculations give for energy of formation? Going down the list: -0.30 -0.35 -0.09 0.01 -0.55 -0.17 -0.40 0.73 -0.27 -0.49 1.87 0.79 eV/atom.